Entry 1:
8
Lattice="-0.730 0.870 3.885 -0.074 -6.996 1.552 6.565 -2.035 1.690" Properties=species:S:1:pos:R:3 comment="SmDy2PaSe4 (PBE-GGA, relaxed)" dos_at_fermi_per_ev_fu=7.2 e_form_raw_mev_per_atom=-1612 pbc="T T T"
Se 0.925 -1.349 4.693
Se 4.835 -6.813 2.434
Se 4.541 -2.800 3.589
Se 1.220 -5.362 3.538
Dy 2.917 -0.583 2.787
Dy 6.565 -2.035 1.690
Sm 6.163 -5.099 4.408
Pa 3.245 -4.516 1.621



Entry 2:
4
Lattice="5.961 -0.005 0.004 3.461 4.853 -0.004 -4.259 -3.303 2.547" Properties=species:S:1:pos:R:3 comment="P2WSe (PBE-GGA, relaxed)" dos_at_fermi_per_ev_fu=2.3 e_form_raw_mev_per_atom=507 pbc="T T T"
Se 3.207 -0.442 1.276
P 4.083 2.101 0.000
P 0.628 0.323 0.000
W 1.957 1.987 1.271



Entry 3:
5
Lattice="-3.971 -2.390 0.679 0.093 -1.422 -4.462 2.483 -3.769 1.253" Properties=species:S:1:pos:R:3 comment="Ni3SnB (PBE-GGA, relaxed)" dos_at_fermi_per_ev_fu=11.9 formation_enthalpy_0k_ev_per_atom=1.898 de_polymorph_mev_per_atom=2073 pbc="T T T"
Ni 0.047 -0.711 -2.231
Ni -1.985 -1.195 0.339
Ni 1.241 -1.884 0.626
B -0.697 -3.790 -1.265
Sn 0.000 0.000 0.000



For reference, E_tot by record: -6.282, -6.308, -3.707 eV/atom.